(1)
## Pm8DyIr6 (GGA-PBE)

Data for an optimized crystal structure of Pm8DyIr6.

## Properties
SG: R-3 (148)
Formation energy from the elements: -0.646 eV per atom
Calculated volume: 381 Å³ per cell

Lattice parameters (Å, degrees): 7.8675 7.8675 7.8675 64.90 64.90 64.90
Last column: nearest neighbours and their distance in Å.
Atoms (fractional coordinates):
1 Pm 0.0600 0.7189 0.3856  5 Ir 2.96-3.12
2 Pm 0.1679 0.1679 0.1679  6 Ir 3.00-3.02
3 Pm 0.2811 0.6144 0.9400  5 Ir 2.96-3.12
4 Pm 0.3856 0.0600 0.7189  5 Ir 2.96-3.12
5 Pm 0.6144 0.9400 0.2811  5 Ir 2.96-3.12
6 Pm 0.7189 0.3856 0.0600  5 Ir 2.96-3.12
7 Pm 0.8321 0.8321 0.8321  6 Ir 3.00-3.02
8 Pm 0.9400 0.2811 0.6144  5 Ir 2.96-3.12
9 Dy 0.5000 0.5000 0.5000  6 Ir 2.99
10 Ir 0.1119 0.4441 0.7743  7 Pm 2.96-3.12, 1 Dy 2.99
11 Ir 0.2257 0.8881 0.5559  7 Pm 2.96-3.12, 1 Dy 2.99
12 Ir 0.4441 0.7743 0.1119  7 Pm 2.96-3.12, 1 Dy 2.99
13 Ir 0.5559 0.2257 0.8881  7 Pm 2.96-3.12, 1 Dy 2.99
14 Ir 0.7743 0.1119 0.4441  7 Pm 2.96-3.12, 1 Dy 2.99
15 Ir 0.8881 0.5559 0.2257  7 Pm 2.96-3.12, 1 Dy 2.99


(2)
## Pm2DyIr2 (GGA-PBE)

Data for an optimized crystal structure of Pm2DyIr2.

## Properties
SG: P2_1/m (11)
Formation energy from the elements: -0.659 eV per atom
Energy relative to the lowest polymorph listed for this composition: 0.0 meV per atom
Calculated volume: 251 Å³ per cell

Lattice parameters (Å, degrees): 4.9218 4.8818 10.4366 90.00 90.05 90.00
Last column: nearest neighbours and their distance in Å.
Atoms (fractional coordinates):
1 Pm 0.2495 0.2500 0.3309  6 Ir 2.97-3.07
2 Pm 0.2499 0.2500 0.9968  4 Ir 2.96-3.01
3 Pm 0.7501 0.7500 0.0032  4 Ir 2.96-3.01
4 Pm 0.7505 0.7500 0.6691  6 Ir 2.97-3.07
5 Dy 0.2506 0.2500 0.6596  6 Ir 2.93-3.06
6 Dy 0.7494 0.7500 0.3404  6 Ir 2.93-3.06
7 Ir 0.2499 0.7500 0.4931  4 Dy 2.93-3.00, 4 Pm 2.97-3.07
8 Ir 0.2504 0.7500 0.8372  6 Pm 2.96-3.02, 2 Dy 3.06
9 Ir 0.7496 0.2500 0.1628  6 Pm 2.96-3.02, 2 Dy 3.06
10 Ir 0.7501 0.2500 0.5069  4 Dy 2.93-3.00, 4 Pm 2.97-3.07


(3)
## PmDyIr2 (GGA-PBE)

Data for an optimized crystal structure of PmDyIr2.

## Properties
SG: Fm-3m (225)
Formation energy from the elements: -0.696 eV per atom
Energy relative to the lowest polymorph listed for this composition: 3.4 meV per atom
Calculated volume: 84 Å³ per cell

Lattice parameters (Å, degrees): 4.9160 4.9160 4.9160 60.00 60.00 60.00
Last column: nearest neighbours and their distance in Å.
Atoms (fractional coordinates):
1 Pm 0.0000 0.0000 0.0000  8 Ir 3.01
2 Dy 0.5000 0.5000 0.5000  8 Ir 3.01
3 Ir 0.2500 0.2500 0.2500  4 Dy 3.01, 4 Pm 3.01
4 Ir 0.7500 0.7500 0.7500  4 Dy 3.01, 4 Pm 3.01